# 1
This record from Alexandria describes a relaxed structure of La2AgPbN. The functional is PBE.

Calculated values
Its total energy is -27.92 eV/f.u. The energy relative to the elements, uncorrected comes out at -0.64 eV per atom. The density is 8.27 g/cm3.

abc: 5.1052 5.1052 4.6736
angles: 90.00 90.00 90.00
Closest atoms and distances in Å follow each position.
Fractional positions:
La (0.0000, 0.5000, 0.0000)  2 N 2.55
La (0.5000, 0.0000, 0.0000)  2 N 2.55
Ag (0.0000, 0.0000, 0.5000)  2 N 2.34
Pb (0.5000, 0.5000, 0.5000)  8 La 3.46, 4 Ag 3.61
N (0.0000, 0.0000, 0.0000)  2 Ag 2.34, 4 La 2.55


# 2
This record from Alexandria describes a relaxed structure of V2Zn. The functional is PBE.

Calculated values
Its total energy is -19.49 eV/f.u. The value obtained for the formation energy from the elements is 0.03 eV/f.u. The density is 6.73 g/cm3.

abc: 2.6185 4.3222 7.3109
angles: 90.00 94.17 90.00
Closest atoms and distances in Å follow each position.
Fractional positions:
V (0.0012, 0.2500, 0.2534)  5 V 2.51-2.62, 2 Zn 2.67
V (0.3141, 0.7500, 0.4303)  7 V 2.51-2.62, 1 Zn 2.61
V (0.6859, 0.2500, 0.5697)  7 V 2.51-2.62, 1 Zn 2.61
V (0.9988, 0.7500, 0.7466)  5 V 2.51-2.62, 2 Zn 2.67
Zn (0.4310, 0.2500, 0.9076)  4 Zn 2.56-2.62, 5 V 2.61-2.84
Zn (0.5690, 0.7500, 0.0924)  4 Zn 2.56-2.62, 5 V 2.61-2.84